No. 1
NaLiSb2: relaxed, PBE.

Results
**E above lowest polymorph**: 0.537 eV per formula unit
**Calculated volume**: 109 Å³ per cell
**Space-group type**: R3m (160)
**Formation energy (no corrections)**: -0.20 eV/atom
**Size of the total moment**: 0.000 μB/atom

Cell: 5.8154 5.8154 5.8154 Å, 50.86 50.86 50.86°
Fractional coordinates of all 4 atoms:
Na: 0.0000 0.0000 0.0000
Li: 0.7979 0.7979 0.7979
Sb: 0.2280 0.2280 0.2280
Sb: 0.4213 0.4213 0.4213

***

No. 2
NaLi8Sb2: relaxed, PBE.

Results
**Calculated volume**: 227 Å³ per cell
**Space-group type**: C2/m (12)
**Formation energy (no corrections)**: -0.38 eV/atom
**Size of the total moment**: 0.000 μB/atom

Cell: 7.6925 7.6925 7.7537 Å, 119.69 119.69 35.48°
Fractional coordinates of all 11 atoms:
Na: 0.0000 0.0000 0.0000
Li: 0.1452 0.1452 0.8302
Li: 0.1814 0.1814 0.4871
Li: 0.3438 0.3438 0.9093
Li: 0.4833 0.4833 0.6586
Li: 0.5167 0.5167 0.3414
Li: 0.6562 0.6562 0.0907
Li: 0.8186 0.8186 0.5129
Li: 0.8548 0.8548 0.1698
Sb: 0.2950 0.2950 0.2759
Sb: 0.7050 0.7050 0.7241

***

No. 3
NaLiSb2Se4: relaxed, PBE.

Results
**Calculated volume**: 200 Å³ per cell
**Space-group type**: Fmm2 (42)
**Formation energy (no corrections)**: -0.58 eV/atom
**Size of the total moment**: 0.000 μB/atom

Cell: 7.0410 5.9777 6.9711 Å, 65.35 50.50 64.14°
Fractional coordinates of all 8 atoms:
Na: 0.0000 0.0000 0.0000
Li: 0.4714 0.4714 0.5286
Sb: 0.2226 0.2226 0.2774
Sb: 0.7226 0.7226 0.7774
Se: 0.0201 0.5043 0.9799
Se: 0.2778 0.7504 0.2496
Se: 0.5043 0.0201 0.4957
Se: 0.7504 0.2778 0.7222

***

No. 4
NaLiSbSe3: relaxed, PBE.

Results
**Calculated volume**: 312 Å³ per cell
**Space-group type**: P2_1/m (11)
**Formation energy (no corrections)**: -0.68 eV/atom
**Size of the total moment**: 0.000 μB/atom

Cell: 7.5989 3.9941 10.6237 Å, 90.00 104.65 90.00°
Fractional coordinates of all 12 atoms:
Na: 0.1372 0.2500 0.1779
Na: 0.8628 0.7500 0.8221
Li: 0.1271 0.7500 0.5724
Li: 0.8729 0.2500 0.4276
Sb: 0.3610 0.2500 0.8268
Sb: 0.6390 0.7500 0.1732
Se: 0.0156 0.2500 0.6792
Se: 0.2671 0.7500 0.9925
Se: 0.4692 0.7500 0.6818
Se: 0.5308 0.2500 0.3182
Se: 0.7329 0.2500 0.0075
Se: 0.9844 0.7500 0.3208